Entry 1:
{
  "formula": "Tb3ErHg",
  "functional": "PBE",
  "state": "relaxed",
  "total_magnetization_mub_per_fu": 0.00,
  "crystal_system": "monoclinic",
  "sg": "C2/m (12)",
  "delta_e_f_mev_per_atom": -117,
  "dft_energy_ev_per_atom": -3.8681,
  "lattice_angstrom": [[6.600, -0.362, -1.045], [-2.154, 6.249, 1.045], [-3.309, -2.123, 7.786]],
  "species": ["Hg", "Hg", "Tb", "Tb", "Tb", "Tb", "Tb", "Tb", "Er", "Er"],
  "fractional_positions": [[0.745, 0.754, 0.500], [0.255, 0.246, 0.500], [0.269, 0.089, 0.859], [0.230, 0.410, 0.141], [0.821, 0.441, 0.262], [0.731, 0.911, 0.141], [0.179, 0.559, 0.738], [0.770, 0.590, 0.859], [0.680, 0.061, 0.741], [0.320, 0.939, 0.259]]
}

=====

Entry 2:
{
  "formula": "Tb4Er2Hg",
  "functional": "PBE",
  "state": "relaxed",
  "total_magnetization_mub_per_fu": 0.00,
  "crystal_system": "monoclinic",
  "sg": "C2/m (12)",
  "delta_e_f_mev_per_atom": -6,
  "dft_energy_ev_per_atom": -3.9986,
  "lattice_angstrom": [[3.513, 0.000, 0.000], [0.000, 8.416, 0.117], [-1.756, -3.881, 7.180]],
  "species": ["Tb", "Tb", "Tb", "Tb", "Hg", "Er", "Er"],
  "fractional_positions": [[0.082, 0.703, 0.165], [0.918, 0.297, 0.835], [0.630, 0.391, 0.261], [0.370, 0.609, 0.739], [0.000, 0.000, 0.000], [0.216, 0.139, 0.433], [0.784, 0.861, 0.567]]
}

=====

Entry 3:
{
  "formula": "Tb2Er2Hg",
  "functional": "PBE",
  "state": "relaxed",
  "total_magnetization_mub_per_fu": 0.03,
  "crystal_system": "tetragonal",
  "relative_energy_mev_per_atom": 0,
  "sg": "I4/mmm (139)",
  "delta_e_f_mev_per_atom": -178,
  "dft_energy_ev_per_atom": -3.9153,
  "lattice_angstrom": [[-3.097, 0.123, 1.735], [-0.998, -3.029, -1.565], [6.665, -4.548, 8.584]],
  "species": ["Tb", "Tb", "Er", "Er", "Hg"],
  "fractional_positions": [[0.196, 0.196, 0.391], [0.804, 0.804, 0.609], [0.587, 0.587, 0.174], [0.413, 0.413, 0.826], [0.000, 0.000, 0.000]]
}

=====

Entry 4:
{
  "formula": "Tb2ErHg5",
  "functional": "PBE",
  "state": "relaxed",
  "total_magnetization_mub_per_fu": 0.00,
  "crystal_system": "tetragonal",
  "sg": "I4/mmm (139)",
  "delta_e_f_mev_per_atom": -411,
  "dft_energy_ev_per_atom": -2.3275,
  "lattice_angstrom": [[-1.679, -2.188, -4.405], [4.000, -3.316, 0.122], [-5.188, -1.964, 6.020]],
  "species": ["Er", "Hg", "Hg", "Hg", "Hg", "Hg", "Tb", "Tb"],
  "fractional_positions": [[0.000, 0.000, 0.000], [0.500, 0.500, 0.000], [0.623, 0.123, 0.245], [0.877, 0.377, 0.755], [0.377, 0.877, 0.755], [0.123, 0.623, 0.245], [0.264, 0.264, 0.528], [0.736, 0.736, 0.472]]
}

=====

Entry 5:
{
  "formula": "Tb3Er2Hg2",
  "functional": "PBE",
  "state": "relaxed",
  "total_magnetization_mub_per_fu": 0.36,
  "crystal_system": "orthorhombic",
  "relative_energy_mev_per_atom": 130,
  "sg": "Cmmm (65)",
  "delta_e_f_mev_per_atom": -110,
  "dft_energy_ev_per_atom": -3.4847,
  "lattice_angstrom": [[4.868, 0.000, 0.646], [0.000, 3.480, 0.000], [0.936, 0.000, 11.610]],
  "species": ["Er", "Er", "Tb", "Tb", "Tb", "Hg", "Hg"],
  "fractional_positions": [[0.710, 0.500, 0.581], [0.290, 0.500, 0.419], [0.144, 0.000, 0.711], [0.000, 0.000, 0.000], [0.856, 0.000, 0.289], [0.571, 0.500, 0.858], [0.429, 0.500, 0.142]]
}

=====

Entry 6:
{
  "formula": "TbEr2Hg",
  "functional": "PBE",
  "state": "relaxed",
  "total_magnetization_mub_per_fu": 0.04,
  "crystal_system": "trigonal",
  "relative_energy_mev_per_atom": 78,
  "sg": "R3m (160)",
  "delta_e_f_mev_per_atom": -159,
  "dft_energy_ev_per_atom": -3.6733,
  "lattice_angstrom": [[-2.644, -1.759, 1.739], [0.155, -3.599, 0.365], [4.307, -0.655, 9.656]],
  "species": ["Hg", "Er", "Er", "Tb"],
  "fractional_positions": [[0.666, 0.666, 0.001], [0.258, 0.258, 0.227], [0.076, 0.076, 0.772], [0.500, 0.500, 0.500]]
}